A plane-wave DFT calculation with PBEsol was carried out for a relaxed BMoPS2 crystal.

The structure belongs to space group P4/mmm (No. 123); the cell edges are 4.108, 4.108 and 3.957 Å and the angles 90.00°, 90.00° and 90.00°. Symmetry generates all atoms from B at (0.000, 0.000, 0.000), Mo at (0.500, 0.500, 0.500), P at (0.000, 0.000, 0.500) and S at (0.000, 0.500, 0.000).

As for the uncorrected formation energy: 3.7 eV per formula unit. For the total energy, the calculation gives -5.926 eV per atom. Its density of states at the Fermi level is 0.528 states/eV per atom. The theoretical density comes out at 5.02 g/cm³.

***

A plane-wave DFT calculation with PBEsol was carried out for a relaxed Sr2AlTcI crystal.

The structure belongs to space group P4/mmm (No. 123); the cell edges are 5.733, 5.733 and 4.741 Å and the angles 90.00°, 90.00° and 90.00°. Symmetry generates all atoms from Sr at (0.000, 0.500, 0.000), Al at (0.000, 0.000, 0.500), Tc at (0.000, 0.000, 0.000) and I at (0.500, 0.500, 0.500).

As for the uncorrected formation energy: 0.0 eV per formula unit. For the total energy, the calculation gives -4.151 eV per atom. Its density of states at the Fermi level is 0.543 states/eV per atom. The theoretical density comes out at 4.55 g/cm³.

***

A plane-wave DFT calculation with PBEsol was carried out for a relaxed BaCrBAu2 crystal.

The structure belongs to space group P4/mmm (No. 123); the cell edges are 5.725, 5.725 and 5.046 Å and the angles 90.00°, 90.00° and 90.00°. Symmetry generates all atoms from Ba at (0.000, 0.000, 0.000), Cr at (0.500, 0.500, 0.500), B at (0.000, 0.000, 0.500) and Au at (0.000, 0.500, 0.000).

For the total energy, the calculation gives -3.452 eV per atom. Its energy of formation is 2.00 eV per atom. Its density of states at the Fermi level is 0.682 states/eV per atom. The theoretical density comes out at 5.97 g/cm³.

***

A plane-wave DFT calculation with PBEsol was carried out for a relaxed TcNi2Pt crystal.

The structure belongs to space group Cm (No. 8); the cell edges are 8.677, 2.627 and 4.430 Å and the angles 90.00°, 100.36° and 90.00°. Symmetry generates all atoms from Tc at (0.000, 0.000, 0.000), Ni at (0.006, 0.500, 0.519), Ni at (0.251, 0.000, 0.757) and Pt at (0.254, 0.500, 0.258).

The distance to the lowest polymorph of the same formula is 25 meV/atom. For the total energy, the calculation gives -7.699 eV per atom. Its energy of formation is -0.06 eV per atom. Its density of states at the Fermi level is 0.962 states/eV per atom. The theoretical density comes out at 13.73 g/cm³.

***

A plane-wave DFT calculation with PBEsol was carried out for a relaxed Y2ZnSnB crystal.

The structure belongs to space group P4/mmm (No. 123); the cell edges are 5.058, 5.058 and 4.059 Å and the angles 90.00°, 90.00° and 90.00°. Symmetry generates all atoms from Y at (0.000, 0.500, 0.000), Zn at (0.000, 0.000, 0.500), Sn at (0.500, 0.500, 0.500) and B at (0.000, 0.000, 0.000).

For the total energy, the calculation gives -5.712 eV per atom. Its energy of formation is -0.41 eV per atom. Its density of states at the Fermi level is 0.596 states/eV per atom. The theoretical density comes out at 5.96 g/cm³.

***

A plane-wave DFT calculation with PBEsol was carried out for a relaxed GeBiI2O crystal.

The structure belongs to space group P4/mmm (No. 123); the cell edges are 5.888, 5.888 and 3.724 Å and the angles 90.00°, 90.00° and 90.00°. Symmetry generates all atoms from Ge at (0.000, 0.000, 0.000), Bi at (0.500, 0.500, 0.500), I at (0.000, 0.500, 0.000) and O at (0.000, 0.000, 0.500).

As for the uncorrected formation energy: -1.1 eV per formula unit. The distance to the lowest polymorph of the same formula is 0 meV/atom. For the total energy, the calculation gives -3.819 eV per atom. Its density of states at the Fermi level is 0.545 states/eV per atom. The theoretical density comes out at 7.09 g/cm³.

***

A plane-wave DFT calculation with PBEsol was carried out for a relaxed NiMoS2 crystal.

The structure belongs to space group Fm-3m (No. 225); the cell edges are 5.894, 5.894 and 5.894 Å and the angles 90.00°, 90.00° and 90.00°. Symmetry generates all atoms from Ni at (0.000, 0.000, 0.000), Mo at (0.000, 0.000, 0.500) and S at (0.250, 0.250, 0.250).

As for the uncorrected formation energy: -0.4 eV per formula unit. For the total energy, the calculation gives -6.777 eV per atom. Its density of states at the Fermi level is 1.034 states/eV per atom. The theoretical density comes out at 7.10 g/cm³.

***

A plane-wave DFT calculation with PBEsol was carried out for a relaxed CdTe2As crystal.

The structure belongs to space group F-43m (No. 216); the cell edges are 7.250, 7.250 and 7.250 Å and the angles 90.00°, 90.00° and 90.00°. Symmetry generates all atoms from Cd at (0.000, 0.000, 0.000), Te at (0.000, 0.000, 0.500), Te at (0.250, 0.250, 0.250) and As at (0.250, 0.250, 0.750).

As for the uncorrected formation energy: 1.3 eV per formula unit. The distance to the lowest polymorph of the same formula is 253 meV/atom. For the total energy, the calculation gives -3.026 eV per atom. Its density of states at the Fermi level is 0.818 states/eV per atom. The theoretical density comes out at 7.71 g/cm³.

***

A plane-wave DFT calculation with PBEsol was carried out for a relaxed MgCd2 crystal.

The structure belongs to space group P6_3/mmc (No. 194); the cell edges are 4.9770, 4.9770 and 5.8873 Å and the angles 90.00°, 90.00° and 120.00°. Symmetry generates all atoms from Mg at (0.3333, 0.6667, 0.2500), Cd at (0.0000, 0.0000, 0.0000) and Cd at (0.3333, 0.6667, 0.7500).

For the total energy, the calculation gives -1.395 eV per atom. Its energy of formation is -0.02 eV per atom. Its density of states at the Fermi level is 0.322 states/eV per atom. The theoretical density comes out at 6.55 g/cm³.

***

A plane-wave DFT calculation with PBEsol was carried out for a relaxed HfNi3Pb crystal.

The structure belongs to space group Pm-3m (No. 221); the cell edges are 4.594, 4.594 and 4.594 Å and the angles 90.00°, 90.00° and 90.00°. Symmetry generates all atoms from Hf at (0.000, 0.000, 0.000), Ni at (0.000, 0.000, 0.500) and Pb at (0.500, 0.500, 0.500).

For the total energy, the calculation gives -5.654 eV per atom. Its energy of formation is 0.94 eV per atom. Its density of states at the Fermi level is 0.614 states/eV per atom. The theoretical density comes out at 9.62 g/cm³.

***

A plane-wave DFT calculation with PBEsol was carried out for a relaxed SrFe2Hg crystal.

The structure belongs to space group R3m (No. 160, hexagonal axes); the cell edges are 4.0471, 4.0471 and 17.7306 Å and the angles 90.00°, 90.00° and 120.00°. Symmetry generates all atoms from Sr at (0.0000, 0.0000, 0.0000), Fe at (0.0000, 0.0000, 0.4608), Fe at (0.0000, 0.0000, 0.7940) and Hg at (0.0000, 0.0000, 0.2005).

For the total energy, the calculation gives -4.804 eV per atom. Its energy of formation is 0.28 eV per atom. Its density of states at the Fermi level is 1.111 states/eV per atom. The theoretical density comes out at 7.92 g/cm³.

***

A plane-wave DFT calculation with PBEsol was carried out for a relaxed RbCo3Sn crystal.

The structure belongs to space group Pm-3m (No. 221); the cell edges are 4.887, 4.887 and 4.887 Å and the angles 90.00°, 90.00° and 90.00°. Symmetry generates all atoms from Rb at (0.000, 0.000, 0.000), Co at (0.000, 0.500, 0.500) and Sn at (0.500, 0.500, 0.500).

For the total energy, the calculation gives -4.385 eV per atom. Its energy of formation is 1.31 eV per atom. Its density of states at the Fermi level is 1.991 states/eV per atom. The theoretical density comes out at 5.42 g/cm³.

***

A plane-wave DFT calculation with PBEsol was carried out for a relaxed MnPt3O6 crystal.

The structure belongs to space group Cmmm (No. 65); the cell edges are 7.078, 9.956 and 3.204 Å and the angles 90.00°, 90.00° and 90.00°. Symmetry generates all atoms from Mn at (0.000, 0.000, 0.000), Pt at (0.000, 0.500, 0.000), Pt at (0.250, 0.250, 0.500), O at (0.000, 0.148, 0.500) and O at (0.213, 0.373, 0.000).

As for the uncorrected formation energy: -7.1 eV per formula unit. For the total energy, the calculation gives -6.925 eV per atom. Its density of states at the Fermi level is 0.161 states/eV per atom. The theoretical density comes out at 10.83 g/cm³.

***

A plane-wave DFT calculation with PBEsol was carried out for a relaxed RbCS2Cl crystal.

The structure belongs to space group P4/mmm (No. 123); the cell edges are 6.350, 6.350 and 6.091 Å and the angles 90.00°, 90.00° and 90.00°. Symmetry generates all atoms from Rb at (0.000, 0.000, 0.000), C at (0.500, 0.500, 0.500), S at (0.000, 0.500, 0.000) and Cl at (0.000, 0.000, 0.500).

As for the uncorrected formation energy: 11.5 eV per formula unit. For the total energy, the calculation gives -1.997 eV per atom. Its density of states at the Fermi level is 3.127 states/eV per atom. The theoretical density comes out at 1.33 g/cm³.

***

A plane-wave DFT calculation with PBEsol was carried out for a relaxed Cr2TeO crystal.

The structure belongs to space group I-42d (No. 122); the cell edges are 4.779, 4.779 and 11.468 Å and the angles 90.00°, 90.00° and 90.00°. Symmetry generates all atoms from Cr at (0.093, 0.250, 0.125), Te at (0.000, 0.000, 0.500) and O at (0.000, 0.000, 0.000).

As for the uncorrected formation energy: -1.8 eV per formula unit. For the total energy, the calculation gives -7.756 eV per atom. Its density of states at the Fermi level is 0.884 states/eV per atom. The theoretical density comes out at 6.28 g/cm³.

***

A plane-wave DFT calculation with PBEsol was carried out for a relaxed ScRuW2 crystal.

The structure belongs to space group P4/mmm (No. 123); the cell edges are 2.836, 2.836 and 8.082 Å and the angles 90.00°, 90.00° and 90.00°. Symmetry generates all atoms from Sc at (0.000, 0.000, 0.000), Ru at (0.000, 0.000, 0.500) and W at (0.500, 0.500, 0.278).

For the total energy, the calculation gives -10.882 eV per atom. Its energy of formation is 0.22 eV per atom. Its density of states at the Fermi level is 0.979 states/eV per atom. The theoretical density comes out at 13.13 g/cm³.

***

A plane-wave DFT calculation with PBEsol was carried out for a relaxed TcSe2N crystal.

The structure belongs to space group R-3m (No. 166, hexagonal axes); the cell edges are 3.6328, 3.6328 and 18.6023 Å and the angles 90.00°, 90.00° and 120.00°. Symmetry generates all atoms from Tc at (0.0000, 0.0000, 0.0000), Se at (0.0000, 0.0000, 0.4061) and N at (0.0000, 0.0000, 0.5000).

As for the uncorrected formation energy: 2.8 eV per formula unit. For the total energy, the calculation gives -6.178 eV per atom. Its density of states at the Fermi level is 0.720 states/eV per atom. The theoretical density comes out at 6.32 g/cm³.

***

A plane-wave DFT calculation with PBEsol was carried out for a relaxed TaZn2As crystal.

The structure belongs to space group P4mm (No. 99); the cell edges are 2.815, 2.815 and 8.462 Å and the angles 90.00°, 90.00° and 90.00°. Symmetry generates all atoms from Ta at (0.000, 0.000, 0.000), Zn at (0.000, 0.000, 0.440), Zn at (0.500, 0.500, 0.233) and As at (0.500, 0.500, 0.762).

For the total energy, the calculation gives -5.116 eV per atom. Its energy of formation is 0.09 eV per atom. Its density of states at the Fermi level is 0.485 states/eV per atom. The theoretical density comes out at 9.57 g/cm³.

***

A plane-wave DFT calculation with PBEsol was carried out for a relaxed BaSrCd2 crystal.

The structure belongs to space group Imm2 (No. 44); the cell edges are 3.940, 5.763 and 11.673 Å and the angles 90.00°, 90.00° and 90.00°. Symmetry generates all atoms from Ba at (0.000, 0.000, 0.000), Sr at (0.000, 0.500, 0.803), Cd at (0.000, 0.000, 0.559) and Cd at (0.000, 0.500, 0.242).

For the total energy, the calculation gives -1.833 eV per atom. Its energy of formation is -0.24 eV per atom. Its density of states at the Fermi level is 0.866 states/eV per atom. The theoretical density comes out at 5.64 g/cm³.

***

A plane-wave DFT calculation with PBEsol was carried out for a relaxed LaCoO3 crystal.

The structure belongs to space group C2/c (No. 15); the cell edges are 5.240, 9.009 and 4.874 Å and the angles 90.00°, 101.12° and 90.00°. Symmetry generates all atoms from La at (0.000, 0.167, 0.250), Co at (0.000, 0.500, 0.000), O at (0.000, 0.338, 0.750) and O at (0.246, 0.421, 0.307).

As for the uncorrected formation energy: -11.3 eV per formula unit. For the total energy, the calculation gives -8.036 eV per atom. The theoretical density comes out at 7.23 g/cm³.